# 1
Below is a relaxed LiBe2TeC crystal, with properties calculated at the GGA-PBE level.

Cell and atoms, written as POSCAR:
```
LiBe2TeC
1.0
3.5901 0.0000 0.0000
0.0000 5.0745 0.0000
0.0000 0.0000 3.5901
Li Te Be C
1 1 2 1
direct
0.0000 0.5000 0.0000
0.5000 0.5000 0.5000
0.5000 0.0000 0.0000
0.0000 0.0000 0.5000
0.0000 0.0000 0.0000
```

Results
Total moment, μB per atom: 0.000
Total energy, eV/atom: -4.19
E_form (uncorrected), kJ/mol of atoms: 15

***

# 2
Below is a relaxed Sc5Tl2Fe crystal, with properties calculated at the GGA-PBE level.

Cell and atoms, written as POSCAR:
```
Sc5Tl2Fe
1.0
4.6780 0.0000 0.0000
0.0000 6.3109 0.0000
0.0000 0.0000 11.6989
Fe Sc Tl
2 10 4
direct
0.0000 0.0000 0.5000
0.0000 0.5000 0.0000
0.0000 0.0000 0.0000
0.0000 0.1032 0.2906
0.0000 0.3968 0.7906
0.5000 0.6718 0.9133
0.5000 0.3282 0.0867
0.5000 0.1718 0.5867
0.0000 0.6032 0.2094
0.0000 0.8968 0.7094
0.5000 0.8282 0.4133
0.0000 0.5000 0.5000
0.5000 0.8734 0.1557
0.5000 0.6266 0.6557
0.5000 0.1266 0.8443
0.5000 0.3734 0.3443
```

Results
Energy relative to the elements, meV per atom: -192
Total moment, μB per atom: 0.000
Total energy, eV/atom: -5.80

***

# 3
Below is a relaxed CdOsCl2 crystal, with properties calculated at the GGA-PBE level.

Cell and atoms, written as POSCAR:
```
CdOsCl2
1.0
-2.9167 -1.3528 2.2454
-0.7877 -3.1041 -2.8934
2.7754 -2.6029 2.0369
Cl Cd Os
2 1 1
direct
0.0000 0.0000 0.0000
0.0000 0.5000 0.5000
0.5000 0.0000 0.5000
0.5000 0.5000 0.0000
```

Results
Total moment, μB per atom: 0.077
Total energy, eV/atom: -2.94
ΔE to the lowest computed polymorph, meV per atom: 972
E_form (uncorrected), kJ/mol of atoms: 98